No. 1
BaTaRe2: optimized geometry, PBE.

a = 3.282 Å, b = 4.898 Å, c = 4.898 Å
α = 90.00°, β = 90.00°, γ = 90.00°
Fractional positions:
Re (0.000, 0.000, 0.000)
Re (0.000, 0.500, 0.500)
Ta (0.500, 0.500, 0.000)
Ba (0.500, 0.000, 0.500)

Its formation energy is 1.3694 eV/atom. Its space group is No. 123. As for the final energy: -8.298 eV per atom. Its magnetization is 0.000 μB per atom.


No. 2
Pr2Er8Sc3: optimized geometry, PBE.

a = 6.539 Å, b = 8.628 Å, c = 8.511 Å
α = 120.46°, β = 96.46°, γ = 90.00°
Fractional positions:
Sc (0.000, 0.836, 0.000)
Er (0.579, 0.210, 0.785)
Pr (0.728, 0.792, 0.584)
Er (0.886, 0.587, 0.174)
Er (0.421, 0.790, 0.215)
Pr (0.272, 0.208, 0.416)
Sc (0.000, 0.164, 0.000)
Er (0.778, 0.190, 0.381)
Er (0.114, 0.413, 0.826)
Er (0.222, 0.810, 0.619)
Er (0.579, 0.575, 0.785)
Sc (0.500, 0.000, 0.000)
Er (0.421, 0.425, 0.215)

Its formation energy is 0.2580 eV/atom. Its space group is No. 12. As for the final energy: -4.746 eV per atom. Its magnetization is 0.000 μB per atom.


No. 3
Tb3Tm3MgTe8: optimized geometry, PBE.

a = 8.637 Å, b = 8.637 Å, c = 8.671 Å
α = 119.87°, β = 90.00°, γ = 120.00°
Fractional positions:
Tb (0.000, 0.000, 0.000)
Te (0.748, 0.496, 0.744)
Tb (0.000, 0.500, 0.000)
Tm (0.500, 0.500, 0.500)
Tb (0.500, 0.500, 0.000)
Te (0.753, 0.506, 0.257)
Mg (0.000, 0.000, 0.500)
Tm (0.000, 0.500, 0.500)
Te (0.247, 0.996, 0.743)
Te (0.753, 0.004, 0.257)
Tm (0.500, 0.000, 0.500)
Te (0.252, 0.504, 0.256)
Te (0.247, 0.494, 0.743)
Te (0.749, 0.996, 0.743)
Te (0.251, 0.004, 0.257)

Its space group is No. 166. The uncorrected formation energy comes out at -1254 meV per atom. As for the final energy: -4.856 eV per atom. Its magnetization is 0.000 μB per atom.